# 1
An optimized crystal structure of KBa2BiO. Source: the Alexandria database, functional PBE-GGA.

```
5
Lattice="-2.761 4.587 1.314 -4.726 -2.838 -0.021 0.641 -1.107 5.213" Properties=species:S:1:pos:R:3 pbc="T T T"
K 0.321 -0.554 2.607
Ba -2.363 -1.419 -0.011
O 0.000 0.000 0.000
Ba -1.380 2.294 0.657
Bi -3.423 0.321 3.253
```

Computed properties:
Symmetry: P4/mmm (123)
E_form (uncorrected) in eV/f.u.: -7.046

***

# 2
An optimized crystal structure of TmMnH4. Source: the Alexandria database, functional PBE-GGA.

```
12
Lattice="-2.280 -3.115 -3.052 3.860 -1.468 -0.588 -1.455 -1.004 5.681" Properties=species:S:1:pos:R:3 pbc="T T T"
H 1.354 -2.194 4.580
Mn -1.931 -3.433 -1.005
H 1.558 -3.300 -1.980
Mn 2.056 -2.155 3.046
H 2.673 -2.582 1.425
Tm 1.205 -2.279 -0.159
H -1.434 -2.287 4.020
H -2.549 -3.006 0.616
H -1.230 -3.393 -2.539
H 0.699 -2.067 1.976
Tm -1.081 -3.308 2.200
H -0.575 -3.520 0.064
```

Computed properties:
Symmetry: C2/c (15)

***

# 3
An optimized crystal structure of LaTmPSe. Source: the Alexandria database, functional PBE-GGA.

```
4
Lattice="4.105 0.000 0.000 2.053 3.555 0.000 2.053 1.185 6.883" Properties=species:S:1:pos:R:3 pbc="T T T"
P 2.053 1.185 1.861
Tm 4.105 2.370 3.303
La 6.158 3.555 0.135
Se 6.158 3.555 5.024
```

Computed properties:
Symmetry: R3m (160)
E_form (uncorrected) in eV/f.u.: -7.174

***

# 4
An optimized crystal structure of CeZn4Co. Source: the Alexandria database, functional PBE-GGA.

```
6
Lattice="5.193 0.000 0.000 2.596 4.497 0.000 2.596 1.499 4.240" Properties=species:S:1:pos:R:3 pbc="T T T"
Zn 5.193 1.479 2.657
Zn 3.878 3.757 2.657
Zn 5.193 2.998 0.509
Ce 2.596 1.499 1.060
Zn 6.508 3.757 2.657
Co 0.000 0.000 0.000
```

Computed properties:
Symmetry: F-43m (216)
E_form in meV/atom: -59
Energy relative to the lowest polymorph listed for this composition in eV/f.u.: 1.272

***

# 5
An optimized crystal structure of Na2HgIrO4. Source: the Alexandria database, functional PBE-GGA.

```
8
Lattice="5.374 0.108 0.165 -2.192 4.907 -0.165 -2.192 -2.126 4.426" Properties=species:S:1:pos:R:3 pbc="T T T"
Na 0.495 3.203 1.065
Na 0.000 0.000 0.000
O 2.825 -0.196 3.130
O 1.801 1.155 1.003
Hg 0.495 -0.314 3.361
Ir -2.192 1.391 2.130
O -1.914 3.135 1.373
O -0.732 1.684 3.346
```

Computed properties:
Symmetry: I-4 (82)
E_form (uncorrected) in eV/f.u.: -6.769

***

# 6
An optimized crystal structure of Tl5Si. Source: the Alexandria database, functional PBE-GGA.

```
6
Lattice="1.858 -8.653 0.000 1.858 8.653 0.000 0.000 0.000 5.519" Properties=species:S:1:pos:R:3 pbc="T T T"
Tl 1.858 -1.842 0.000
Tl 1.858 0.485 2.760
Tl 1.858 6.250 2.760
Tl 1.858 -5.260 2.760
Si 1.858 -8.185 0.000
Tl 1.858 2.783 0.000
```

Computed properties:
Symmetry: Amm2 (38)
E_form (uncorrected) in eV/f.u.: 1.384
Energy relative to the lowest polymorph listed for this composition in eV/f.u.: 0.152

***

# 7
An optimized crystal structure of MoRu3. Source: the Alexandria database, functional PBE-GGA.

```
8
Lattice="-4.004 -2.837 0.024 2.829 -3.990 0.398 -0.211 0.339 4.891" Properties=species:S:1:pos:R:3 pbc="T T T"
Ru 0.602 -0.828 2.545
Ru -2.055 -1.334 1.235
Ru 0.414 -2.704 0.205
Mo 0.000 0.000 0.000
Ru 2.017 -2.823 2.744
Ru -1.588 -4.123 0.217
Mo -0.693 -3.244 2.657
Ru -2.160 -1.165 3.680
```

Computed properties:
Symmetry: Pm-3n (223)
E_form in meV/atom: 267
Energy relative to the lowest polymorph listed for this composition in eV/f.u.: 1.289

***

# 8
An optimized crystal structure of Cs2GeOsO6. Source: the Alexandria database, functional PBE-GGA.

```
10
Lattice="-3.327 3.735 3.000 -3.297 -4.435 1.864 -0.270 -0.904 6.496" Properties=species:S:1:pos:R:3 pbc="T T T"
Cs -3.454 1.240 5.964
Os 0.000 0.000 0.000
O -3.305 -2.539 2.128
O -5.087 -0.537 3.736
O -1.364 -0.705 5.035
O -5.530 -0.900 6.326
Cs -3.440 -2.845 5.396
O -1.807 -1.067 7.624
Ge -3.312 -0.350 2.432
O -3.320 1.839 2.737
```

Computed properties:
Symmetry: I4/mmm (139)
E_form (uncorrected) in eV/f.u.: -11.205

***

Total energy for the records above, in order: -20.83 -57.28 -25.47 -18.49 -38.40 -15.87 -75.18 -58.51 eV per cell